No. 1
Entry from the Alexandria database: a geometry-optimized LaGdPu2 structure (GGA-PBE).

Properties
ρ	10738	kg/m3
total energy	-11.6439	eV per atom

Unit cell a=5.556 b=5.556 c=5.556 alpha=60.00 beta=60.00 gamma=60.00
Each line ends with the local moment (μB).
Sites, in units of the cell vectors:
1 Pu 0.750 0.750 0.750  5.65
2 Pu 0.250 0.250 0.250  5.65
3 Gd 0.000 0.000 0.000  7.45
4 La 0.500 0.500 0.500  0.34

No. 2
Entry from the Alexandria database: a geometry-optimized LiNpAl2 structure (GGA-PBE).

Properties
ρ	7447	kg/m3
total energy	-5.6266	eV per atom

Unit cell a=2.668 b=2.668 c=9.333 alpha=90.00 beta=90.00 gamma=90.00
Sites, in units of the cell vectors:
1 Al 0.000 0.000 0.763
2 Al 0.000 0.000 0.237
3 Li 0.500 0.500 0.000
4 Np 0.500 0.500 0.500

Question: Look up the total energy of the second one.
Answer: -5.6266 eV per atom

Question: Number 2 is which compound?
Answer: LiNpAl2

Question: Which value of total energy does entry 1 give?
Answer: -11.6439 eV per atom

Question: The highest total energy belongs to which entry?
Answer: LiNpAl2